(w)
Crystalline LaNiSnSbPd at its relaxed geometry. Source: OQMD, functional PBE.

Cell lengths 4.5296, 4.5296, 10.4562 Å; angles 90.00, 90.00, 90.00 degrees
Last column: nearest neighbours and their distance in Å.
Fractional coordinates of all 10 atoms:
Sb  0.0000  0.5000  0.8579  1 Ni 2.48, 4 Pd 2.71
Sn  0.5000  0.5000  0.5000  4 Ni 2.59
Pd  0.0000  0.0000  0.0000  4 Sb 2.71
Ni  0.0000  0.5000  0.6207  1 Sb 2.48, 4 Sn 2.59
La  0.5000  0.0000  0.7522  4 Sb 3.39, 4 Pd 3.44, 4 Sn 3.48, 4 Ni 3.49
La  0.0000  0.5000  0.2478  4 Sb 3.39, 4 Pd 3.44, 4 Sn 3.48, 4 Ni 3.49
Ni  0.5000  0.0000  0.3793  1 Sb 2.48, 4 Sn 2.59
Sb  0.5000  0.0000  0.1421  1 Ni 2.48, 4 Pd 2.71
Sn  0.0000  0.0000  0.5000  4 Ni 2.59
Pd  0.5000  0.5000  0.0000  4 Sb 2.71

Computed properties:
ρ	8.43	g/cm³


(x)
Crystalline LaNiSnSbPd at its relaxed geometry. Source: OQMD, functional PBE.

Cell lengths 4.5983, 4.5983, 10.5577 Å; angles 90.00, 90.00, 90.00 degrees
Last column: nearest neighbours and their distance in Å.
Fractional coordinates of all 10 atoms:
Ni  0.5000  0.5000  0.0000  4 Sn 2.58
Sb  0.5000  0.5000  0.5000  4 Pd 2.72
Pd  0.5000  0.0000  0.3629  1 Sn 2.65, 4 Sb 2.72
La  0.5000  0.0000  0.7671  4 Ni 3.37, 5 Sn 3.49-3.64, 4 Pd 3.53, 4 Sb 3.64
La  0.0000  0.5000  0.2329  4 Ni 3.37, 5 Sn 3.49-3.64, 4 Pd 3.53, 4 Sb 3.64
Sn  0.5000  0.0000  0.1116  4 Ni 2.58, 1 Pd 2.65
Pd  0.0000  0.5000  0.6371  1 Sn 2.65, 4 Sb 2.72
Ni  0.0000  0.0000  0.0000  4 Sn 2.58
Sb  0.0000  0.0000  0.5000  4 Pd 2.72
Sn  0.0000  0.5000  0.8884  4 Ni 2.58, 1 Pd 2.65

Computed properties:
ρ	8.10	g/cm³


(y)
Crystalline LaNiSnSbPd at its relaxed geometry. Source: OQMD, functional PBE.

Cell lengths 4.4757, 4.4757, 10.8744 Å; angles 90.00, 90.00, 90.00 degrees
Last column: nearest neighbours and their distance in Å.
Fractional coordinates of all 10 atoms:
La  0.5000  0.0000  0.7712  4 Ni 3.35, 5 Sb 3.40-3.74, 4 Pd 3.46, 4 Sn 3.70
Pd  0.0000  0.5000  0.6423  1 Sb 2.64, 4 Sn 2.72
Sn  0.5000  0.5000  0.5000  4 Pd 2.72
La  0.0000  0.5000  0.2288  4 Ni 3.35, 5 Sb 3.40-3.74, 4 Pd 3.46, 4 Sn 3.70
Sb  0.0000  0.5000  0.8847  4 Ni 2.57, 1 Pd 2.64
Ni  0.5000  0.5000  0.0000  4 Sb 2.57
Pd  0.5000  0.0000  0.3577  1 Sb 2.64, 4 Sn 2.72
Ni  0.0000  0.0000  0.0000  4 Sb 2.57
Sb  0.5000  0.0000  0.1153  4 Ni 2.57, 1 Pd 2.64
Sn  0.0000  0.0000  0.5000  4 Pd 2.72

Computed properties:
ρ	8.30	g/cm³


It comes down to (w), which is 8 meV per atom more stable than the next structure.


(w)
Crystalline LaPr2Zn2Si4Ni2 at its relaxed geometry. Source: OQMD, functional PBE.

Cell lengths 12.3058, 12.3058, 12.3058 Å; angles 160.53, 160.23, 27.88 degrees
Last column: nearest neighbours and their distance in Å.
Fractional coordinates of all 11 atoms:
Pr  0.8460  0.3460  0.5000  4 Ni 3.09-3.12, 7 Si 3.20-3.39, 4 Zn 3.22
Si  0.5499  0.5499  0.0000  1 Si 2.39, 2 Zn 2.41
Si  0.2960  0.7960  0.5000  4 Ni 2.36-2.38, 1 Zn 2.46
Si  0.7040  0.2040  0.5000  4 Ni 2.36-2.38, 1 Zn 2.46
Pr  0.1540  0.6540  0.5000  4 Ni 3.09-3.12, 7 Si 3.20-3.39, 4 Zn 3.22
La  0.0000  0.0000  0.0000  8 Si 3.20, 4 Zn 3.21
Zn  0.3989  0.8989  0.5000  3 Si 2.41-2.46
Ni  0.7503  0.7503  0.0000  4 Si 2.36-2.38
Ni  0.2497  0.2497  0.0000  4 Si 2.36-2.38
Zn  0.6011  0.1011  0.5000  3 Si 2.41-2.46
Si  0.4501  0.4501  0.0000  1 Si 2.39, 2 Zn 2.41

Computed properties:
ρ	6.18	g/cm³


(x)
Crystalline LaPr2Zn2Si4Ni2 at its relaxed geometry. Source: OQMD, functional PBE.

Cell lengths 12.5434, 12.5434, 12.5434 Å; angles 160.98, 160.84, 27.13 degrees
Last column: nearest neighbours and their distance in Å.
Fractional coordinates of all 11 atoms:
Ni  0.5936  0.0935  0.5000  3 Si 2.29-2.32
Si  0.3127  0.8127  0.5000  1 Ni 2.29
La  0.0000  0.0000  0.0000  4 Ni 3.09, 8 Si 3.19
Zn  0.2498  0.2498  0.0000  4 Si 2.58
Ni  0.4064  0.9064  0.5000  3 Si 2.29-2.32
Pr  0.8556  0.3556  0.5000  6 Si 3.10-3.12, 4 Ni 3.19, 4 Zn 3.30-3.32
Zn  0.7502  0.7502  0.0000  4 Si 2.58
Si  0.6873  0.1873  0.5000  1 Ni 2.29
Si  0.5504  0.5504  0.0000  2 Ni 2.32, 1 Si 2.46
Si  0.4496  0.4496  0.0000  2 Ni 2.32, 1 Si 2.46
Pr  0.1444  0.6444  0.5000  6 Si 3.10-3.12, 4 Ni 3.19, 4 Zn 3.30-3.32

Computed properties:
ρ	6.15	g/cm³


It comes down to (w), which is 36 meV per atom more stable than the next structure.


(w)
Crystalline LaPuNi at its relaxed geometry. Source: OQMD, functional PBE.

Cell lengths 4.3994, 4.3994, 4.3994 Å; angles 60.00, 60.00, 60.00 degrees
Last column: nearest neighbours and their distance in Å.
Fractional coordinates of all 3 atoms:
Pu  0.7500  0.7500  0.7500  4 La 2.69
Ni  0.2500  0.2500  0.2500  4 La 2.69
La  0.0000  0.0000  0.0000  4 Pu 2.69, 4 Ni 2.69

Computed properties:
ρ	12.18	g/cm³


(x)
Crystalline LaPuNi at its relaxed geometry. Source: OQMD, functional PBE.

Cell lengths 4.7684, 4.7684, 4.7684 Å; angles 60.00, 60.00, 60.00 degrees
Last column: nearest neighbours and their distance in Å.
Fractional coordinates of all 3 atoms:
Ni  0.0000  0.0000  0.0000  4 La 2.92, 4 Pu 2.92
La  0.7500  0.7500  0.7500  4 Ni 2.92
Pu  0.2500  0.2500  0.2500  4 Ni 2.92

Computed properties:
ρ	9.56	g/cm³


It comes down to (x), which is 513 meV per atom more stable than the next structure.


(w)
Crystalline RbLaNiTe3 at its relaxed geometry. Source: OQMD, functional PBE.

Cell lengths 9.0561, 9.0561, 11.2687 Å; angles 90.00, 90.00, 151.89 degrees
Last column: nearest neighbours and their distance in Å.
Fractional coordinates of all 12 atoms:
Te  0.3837  0.6163  0.8991  1 Ni 2.56
Te  0.3837  0.6163  0.6009  1 Ni 2.56
Ni  0.5067  0.4933  0.2500  4 Te 2.56-2.67
Te  0.0791  0.9209  0.7500  2 Ni 2.67
Ni  0.4933  0.5067  0.7500  4 Te 2.56-2.67
Te  0.9209  0.0791  0.2500  2 Ni 2.67
Rb  0.7434  0.2566  0.7500  6 Te 3.63-3.71
La  0.0000  0.0000  0.5000  6 Te 3.14-3.21
La  0.0000  0.0000  0.0000  6 Te 3.14-3.21
Te  0.6163  0.3837  0.3991  1 Ni 2.56
Rb  0.2566  0.7434  0.2500  6 Te 3.63-3.71
Te  0.6163  0.3837  0.1009  1 Ni 2.56

Computed properties:
ρ	5.08	g/cm³


(x)
Crystalline RbLaNiTe3 at its relaxed geometry. Source: OQMD, functional PBE.

Cell lengths 12.3664, 4.6440, 13.8614 Å; angles 90.00, 90.00, 90.00 degrees
Last column: nearest neighbours and their distance in Å.
Fractional coordinates of all 24 atoms:
Ni  0.2406  0.0000  0.2937  4 Te 2.55-2.59
Rb  0.6683  0.0000  0.4963  7 Te 3.60-3.85, 2 Ni 3.89
Te  0.9449  0.0000  0.1777  1 Ni 2.56
Te  0.2769  0.0000  0.7200  2 Ni 2.55
Te  0.1191  0.0000  0.4461  1 Ni 2.59
La  0.9884  0.5000  0.3343  7 Te 3.22-3.37
La  0.5116  0.0000  0.8343  7 Te 3.22-3.37
Te  0.5551  0.5000  0.6777  1 Ni 2.56
Te  0.7769  0.0000  0.7800  2 Ni 2.55
Rb  0.3317  0.5000  0.5037  7 Te 3.60-3.85, 2 Ni 3.89
Ni  0.7406  0.0000  0.2063  4 Te 2.55-2.59
Te  0.7231  0.5000  0.2800  2 Ni 2.55
Te  0.8809  0.5000  0.5539  1 Ni 2.59
La  0.4884  0.5000  0.1657  7 Te 3.22-3.37
La  0.0116  0.0000  0.6657  7 Te 3.22-3.37
Rb  0.1683  0.0000  0.0037  7 Te 3.60-3.85, 2 Ni 3.89
Te  0.6191  0.0000  0.0539  1 Ni 2.59
Rb  0.8317  0.5000  0.9963  7 Te 3.60-3.85, 2 Ni 3.89
Te  0.2231  0.5000  0.2200  2 Ni 2.55
Te  0.4449  0.0000  0.3223  1 Ni 2.56
Ni  0.7594  0.5000  0.7063  4 Te 2.55-2.59
Te  0.0551  0.5000  0.8223  1 Ni 2.56
Te  0.3809  0.5000  0.9461  1 Ni 2.59
Ni  0.2594  0.5000  0.7937  4 Te 2.55-2.59

Computed properties:
ρ	5.56	g/cm³


It comes down to (x), which is 22 meV per atom more stable than the next structure.